A relaxed structure of NaLi4MnF8, computed with GGA+U.

a b c (Å): 6.1389 6.1389 6.1389
angles (deg): 59.41 59.41 59.41
Last column: nearest neighbours and their distance in Å.
Fractional positions:
Na 0.0000 0.0000 0.0000  6 F 2.28-2.37
Li 0.0111 0.0111 0.4700  5 F 1.94-2.03
Li 0.0111 0.4700 0.0111  5 F 1.94-2.03
Li 0.3586 0.3586 0.3586  4 F 1.85-1.97
Li 0.4700 0.0111 0.0111  5 F 1.94-2.03
Mn 0.5458 0.5458 0.5458  4 F 1.81-1.97
F 0.1824 0.7423 0.7423  2 Li 1.96, 1 Mn 1.97
F 0.2361 0.2361 0.2361  4 Li 1.85-1.94
F 0.2734 0.2734 0.7426  3 Li 1.97-2.03
F 0.2734 0.7426 0.2734  3 Li 1.97-2.03
F 0.6657 0.6657 0.6657  1 Mn 1.81
F 0.7423 0.1824 0.7423  2 Li 1.96, 1 Mn 1.97
F 0.7423 0.7423 0.1824  2 Li 1.96, 1 Mn 1.97
F 0.7426 0.2734 0.2734  3 Li 1.97-2.03

Volume: 11.5 Å³/atom
SG: R3m
Total DFT energy (no corrections): -4.930 eV/atom